Entry 1:
The following is a GGA-PBE calculation of Nb2GaAs after structural relaxation, from Alexandria.

a b c (Å): 7.293 7.293 7.293
angles (deg): 133.63 133.63 67.66
Fractional coordinates of all 8 atoms:
Nb 0.125 0.625 0.000
Nb 0.375 0.375 0.500
Nb 0.625 0.125 0.000
Nb 0.875 0.875 0.500
Ga 0.000 0.000 0.000
Ga 0.750 0.250 0.500
As 0.250 0.750 0.500
As 0.500 0.500 0.000

Computed properties:
DFT formation energy (eV/atom): 0.78
Total magnetic moment (μB per atom): 0.00
Crystal system: tetragonal
Final energy (eV/cell): -49.38
DOS at the Fermi energy (states/eV/atom): 1.473



Entry 2:
The following is a GGA-PBE calculation of Nb2GaAs after structural relaxation, from Alexandria.

a b c (Å): 4.564 4.564 4.564
angles (deg): 60.00 60.00 60.00
Fractional coordinates of all 4 atoms:
Nb 0.250 0.250 0.250
Nb 0.750 0.750 0.750
Ga 0.000 0.000 0.000
As 0.500 0.500 0.500

Computed properties:
DFT formation energy (eV/atom): -0.15
Total magnetic moment (μB per atom): 0.00
Crystal system: cubic
Final energy (eV/cell): -28.43
DOS at the Fermi energy (states/eV/atom): 0.943